Record 1
Density functional theory data (SCAN) for a PBEsol-optimized structure of LiVS2O8.

Output
total magnetic moment	16.000	Bohr magnetons per cell
uncorrected formation energy	-1.9598	eV/atom
space group	P1 (1)

The structure in CIF format:
```
data_LiVS2O8
_chemical_formula_sum 'Li8 V8 S16 O64'
_cell_length_a 8.960
_cell_length_b 9.145
_cell_length_c 13.369
_cell_angle_alpha 89.76
_cell_angle_beta 89.71
_cell_angle_gamma 89.85
_space_group_name_H-M_alt 'P 1'
_space_group_IT_number 1
_space_group_name_Hall 'P 1'
loop_
_atom_site_label
_atom_site_type_symbol
_atom_site_fract_x
_atom_site_fract_y
_atom_site_fract_z
Li1 Li 0.000 0.000 0.000
Li2 Li 0.005 0.488 0.251
Li3 Li 0.275 0.815 0.001
Li4 Li 0.321 0.817 0.502
Li5 Li 0.335 0.327 0.750
Li6 Li 0.522 0.539 0.247
Li7 Li 0.590 0.999 0.499
Li8 Li 0.841 0.707 0.753
V1 V 0.149 0.910 0.254
V2 V 0.154 0.406 0.002
V3 V 0.441 0.405 0.501
V4 V 0.443 0.906 0.751
V5 V 0.653 0.623 0.000
V6 V 0.654 0.123 0.248
V7 V 0.938 0.129 0.746
V8 V 0.942 0.623 0.499
S1 S 0.110 0.844 0.652
S2 S 0.114 0.342 0.595
S3 S 0.232 0.110 0.886
S4 S 0.241 0.612 0.364
S5 S 0.359 0.113 0.387
S6 S 0.360 0.610 0.865
S7 S 0.480 0.843 0.153
S8 S 0.483 0.339 0.094
S9 S 0.611 0.191 0.653
S10 S 0.612 0.688 0.600
S11 S 0.734 0.920 0.884
S12 S 0.739 0.412 0.366
S13 S 0.854 0.915 0.385
S14 S 0.861 0.419 0.865
S15 S 0.981 0.191 0.154
S16 S 0.982 0.693 0.099
O1 O 0.012 0.958 0.362
O2 O 0.018 0.743 0.202
O3 O 0.019 0.451 0.895
O4 O 0.021 0.241 0.050
O5 O 0.039 0.283 0.231
O6 O 0.041 0.037 0.157
O7 O 0.043 0.539 0.097
O8 O 0.050 0.787 0.023
O9 O 0.052 0.752 0.731
O10 O 0.052 0.997 0.657
O11 O 0.053 0.496 0.590
O12 O 0.066 0.250 0.516
O13 O 0.072 0.077 0.861
O14 O 0.078 0.288 0.699
O15 O 0.080 0.787 0.549
O16 O 0.082 0.568 0.383
O17 O 0.248 0.776 0.355
O18 O 0.252 0.271 0.900
O19 O 0.265 0.079 0.300
O20 O 0.266 0.583 0.957
O21 O 0.268 0.025 0.974
O22 O 0.280 0.851 0.654
O23 O 0.284 0.358 0.600
O24 O 0.296 0.538 0.277
O25 O 0.311 0.856 0.154
O26 O 0.313 0.530 0.779
O27 O 0.316 0.356 0.094
O28 O 0.323 0.079 0.795
O29 O 0.326 0.584 0.458
O30 O 0.329 0.026 0.477
O31 O 0.344 0.272 0.405
O32 O 0.346 0.773 0.852
O33 O 0.512 0.785 0.050
O34 O 0.516 0.572 0.892
O35 O 0.519 0.078 0.360
O36 O 0.521 0.287 0.198
O37 O 0.533 0.749 0.232
O38 O 0.539 0.252 0.014
O39 O 0.543 0.993 0.158
O40 O 0.544 0.496 0.095
O41 O 0.545 0.280 0.730
O42 O 0.550 0.786 0.523
O43 O 0.555 0.034 0.655
O44 O 0.555 0.537 0.590
O45 O 0.573 0.239 0.549
O46 O 0.577 0.741 0.703
O47 O 0.577 0.960 0.862
O48 O 0.578 0.453 0.386
O49 O 0.746 0.756 0.895
O50 O 0.750 0.252 0.350
O51 O 0.765 0.948 0.293
O52 O 0.768 0.453 0.955
O53 O 0.777 0.186 0.656
O54 O 0.780 0.684 0.596
O55 O 0.785 0.493 0.276
O56 O 0.789 0.995 0.971
O57 O 0.801 0.991 0.473
O58 O 0.815 0.180 0.155
O59 O 0.818 0.687 0.091
O60 O 0.823 0.504 0.778
O61 O 0.824 0.950 0.791
O62 O 0.826 0.449 0.456
O63 O 0.846 0.259 0.847
O64 O 0.850 0.752 0.399
```


Record 2
Density functional theory data (SCAN) for a PBEsol-optimized structure of LiSbO2.

Output
total magnetic moment	0.000	Bohr magnetons per cell
density of states at the Fermi level	0.000	states/eV/atom
uncorrected formation energy	-1.7464	eV/atom
space group	P2_1/c (14)

The structure in CIF format:
```
data_LiSbO2
_chemical_formula_sum 'Li8 Sb8 O16'
_cell_length_a 4.220
_cell_length_b 18.265
_cell_length_c 5.818
_cell_angle_alpha 90.00
_cell_angle_beta 90.08
_cell_angle_gamma 90.00
_space_group_name_H-M_alt 'P 1'
_space_group_IT_number 1
_space_group_name_Hall 'P 1'
loop_
_atom_site_label
_atom_site_type_symbol
_atom_site_fract_x
_atom_site_fract_y
_atom_site_fract_z
Li1 Li 0.209 0.215 0.318
Li2 Li 0.209 0.285 0.818
Li3 Li 0.290 0.713 0.494
Li4 Li 0.290 0.787 0.994
Li5 Li 0.710 0.213 0.006
Li6 Li 0.710 0.287 0.506
Li7 Li 0.791 0.715 0.182
Li8 Li 0.791 0.785 0.682
Sb1 Sb 0.211 0.094 0.885
Sb2 Sb 0.211 0.406 0.385
Sb3 Sb 0.291 0.595 0.061
Sb4 Sb 0.291 0.905 0.561
Sb5 Sb 0.709 0.095 0.439
Sb6 Sb 0.709 0.405 0.939
Sb7 Sb 0.789 0.594 0.615
Sb8 Sb 0.789 0.906 0.115
O1 O 0.209 0.108 0.536
O2 O 0.209 0.194 0.984
O3 O 0.209 0.306 0.484
O4 O 0.209 0.392 0.036
O5 O 0.290 0.607 0.713
O6 O 0.290 0.893 0.213
O7 O 0.291 0.696 0.159
O8 O 0.291 0.804 0.659
O9 O 0.709 0.196 0.341
O10 O 0.709 0.304 0.841
O11 O 0.710 0.107 0.787
O12 O 0.710 0.393 0.287
O13 O 0.791 0.608 0.964
O14 O 0.791 0.694 0.516
O15 O 0.791 0.806 0.016
O16 O 0.791 0.892 0.464
```


Record 3
Density functional theory data (SCAN) for a PBEsol-optimized structure of Li3SbO3.

Output
total magnetic moment	0.000	Bohr magnetons per cell
polymorph energy (0 for the lowest one)	0	meV per atom
density of states at the Fermi level	0.000	states/eV/atom
uncorrected formation energy	-1.9088	eV/atom
space group	I-43m (217)

The structure in CIF format:
```
data_Li3SbO3
_chemical_formula_sum 'Li12 Sb4 O12'
_cell_length_a 7.405
_cell_length_b 7.405
_cell_length_c 7.405
_cell_angle_alpha 109.47
_cell_angle_beta 109.47
_cell_angle_gamma 109.47
_space_group_name_H-M_alt 'P 1'
_space_group_IT_number 1
_space_group_name_Hall 'P 1'
loop_
_atom_site_label
_atom_site_type_symbol
_atom_site_fract_x
_atom_site_fract_y
_atom_site_fract_z
Li1 Li 0.000 0.288 0.533
Li2 Li 0.000 0.533 0.288
Li3 Li 0.245 0.712 0.712
Li4 Li 0.288 0.000 0.533
Li5 Li 0.288 0.533 0.000
Li6 Li 0.467 0.467 0.755
Li7 Li 0.467 0.755 0.467
Li8 Li 0.533 0.000 0.288
Li9 Li 0.533 0.288 0.000
Li10 Li 0.712 0.245 0.712
Li11 Li 0.712 0.712 0.245
Li12 Li 0.755 0.467 0.467
Sb1 Sb 0.000 0.000 0.722
Sb2 Sb 0.000 0.722 0.000
Sb3 Sb 0.278 0.278 0.278
Sb4 Sb 0.722 0.000 0.000
O1 O 0.000 0.505 0.761
O2 O 0.000 0.761 0.505
O3 O 0.239 0.239 0.745
O4 O 0.239 0.745 0.239
O5 O 0.255 0.495 0.495
O6 O 0.495 0.255 0.495
O7 O 0.495 0.495 0.255
O8 O 0.505 0.000 0.761
O9 O 0.505 0.761 0.000
O10 O 0.745 0.239 0.239
O11 O 0.761 0.000 0.505
O12 O 0.761 0.505 0.000
```


Record 4
Density functional theory data (SCAN) for a PBEsol-optimized structure of LiSbO2.

Output
total magnetic moment	0.000	Bohr magnetons per cell
density of states at the Fermi level	0.000	states/eV/atom
uncorrected formation energy	-1.7072	eV/atom
space group	C2/c (15)

The structure in CIF format:
```
data_LiSbO2
_chemical_formula_sum 'Li2 Sb2 O4'
_cell_length_a 5.517
_cell_length_b 5.517
_cell_length_c 5.276
_cell_angle_alpha 114.27
_cell_angle_beta 114.27
_cell_angle_gamma 101.45
_space_group_name_H-M_alt 'P 1'
_space_group_IT_number 1
_space_group_name_Hall 'P 1'
loop_
_atom_site_label
_atom_site_type_symbol
_atom_site_fract_x
_atom_site_fract_y
_atom_site_fract_z
Li1 Li 0.048 0.952 0.750
Li2 Li 0.952 0.048 0.250
Sb1 Sb 0.391 0.609 0.250
Sb2 Sb 0.609 0.391 0.750
O1 O 0.232 0.304 0.738
O2 O 0.304 0.232 0.238
O3 O 0.696 0.768 0.762
O4 O 0.768 0.696 0.262
```


Record 5
Density functional theory data (SCAN) for a PBEsol-optimized structure of Li3SbO3.

Output
total magnetic moment	0.000	Bohr magnetons per cell
polymorph energy (0 for the lowest one)	112	meV per atom
density of states at the Fermi level	0.000	states/eV/atom
uncorrected formation energy	-1.7972	eV/atom
space group	P2_13 (198)

The structure in CIF format:
```
data_Li3SbO3
_chemical_formula_sum 'Li12 Sb4 O12'
_cell_length_a 7.055
_cell_length_b 7.055
_cell_length_c 7.055
_cell_angle_alpha 90.00
_cell_angle_beta 90.00
_cell_angle_gamma 90.00
_space_group_name_H-M_alt 'P 1'
_space_group_IT_number 1
_space_group_name_Hall 'P 1'
loop_
_atom_site_label
_atom_site_type_symbol
_atom_site_fract_x
_atom_site_fract_y
_atom_site_fract_z
Li1 Li 0.028 0.472 0.528
Li2 Li 0.241 0.759 0.259
Li3 Li 0.246 0.746 0.754
Li4 Li 0.254 0.254 0.254
Li5 Li 0.259 0.241 0.759
Li6 Li 0.472 0.528 0.028
Li7 Li 0.528 0.028 0.472
Li8 Li 0.741 0.741 0.741
Li9 Li 0.746 0.754 0.246
Li10 Li 0.754 0.246 0.746
Li11 Li 0.759 0.259 0.241
Li12 Li 0.972 0.972 0.972
Sb1 Sb 0.025 0.975 0.475
Sb2 Sb 0.475 0.025 0.975
Sb3 Sb 0.525 0.525 0.525
Sb4 Sb 0.975 0.475 0.025
O1 O 0.006 0.742 0.101
O2 O 0.101 0.006 0.742
O3 O 0.242 0.399 0.994
O4 O 0.258 0.601 0.494
O5 O 0.399 0.994 0.242
O6 O 0.494 0.258 0.601
O7 O 0.506 0.758 0.899
O8 O 0.601 0.494 0.258
O9 O 0.742 0.101 0.006
O10 O 0.758 0.899 0.506
O11 O 0.899 0.506 0.758
O12 O 0.994 0.242 0.399
```


Record 6
Density functional theory data (SCAN) for a PBEsol-optimized structure of Li3SbO.

Output
total magnetic moment	0.000	Bohr magnetons per cell
density of states at the Fermi level	0.361	states/eV/atom
uncorrected formation energy	-1.0576	eV/atom
space group	Pm-3m (221)

The structure in CIF format:
```
data_Li3SbO
_chemical_formula_sum 'Li3 Sb1 O1'
_cell_length_a 4.031
_cell_length_b 4.031
_cell_length_c 4.031
_cell_angle_alpha 90.00
_cell_angle_beta 90.00
_cell_angle_gamma 90.00
_space_group_name_H-M_alt 'P 1'
_space_group_IT_number 1
_space_group_name_Hall 'P 1'
loop_
_atom_site_label
_atom_site_type_symbol
_atom_site_fract_x
_atom_site_fract_y
_atom_site_fract_z
Li1 Li 0.000 0.000 0.500
Li2 Li 0.000 0.500 0.000
Li3 Li 0.500 0.000 0.000
Sb1 Sb 0.500 0.500 0.500
O1 O 0.000 0.000 0.000
```


Calculated total DFT energy (no corrections), -9.38; -14.77; -10.93; -14.74; -10.81; -11.19 eV per atom (same order as the records).